The following is a PBE calculation of crystalline Sm3Tm3Cd2 at its relaxed geometry, from Alexandria via LeMat-Bulk.

Computed properties:
- calculated formation energy (kJ per mole of atoms) = -6
- volume (A^3/atom) = 30.0

Cell: 5.2140 11.6361 15.8093 Å, 90.00 90.00 90.00°
Space group Cmcm (No. 63)
Symmetry-distinct sites (fractional):
Sm1 0.0000 0.0392 0.1058 [8 per cell]
Sm2 0.0000 0.2655 0.2500 [4 per cell]
Tm1 0.0000 0.3564 0.0360 [8 per cell]
Tm2 0.0000 0.4537 0.7500 [4 per cell]
Cd1 0.0000 0.2357 0.6326 [8 per cell]

The following is a PBE calculation of crystalline SmTm4Cd at its relaxed geometry, from Alexandria via LeMat-Bulk.

Computed properties:
- calculated formation energy (kJ per mole of atoms) = 7
- volume (A^3/atom) = 30.0

Cell: 6.6745 19.0434 6.4431 Å, 90.00 118.45 90.00°
Space group C2/c (No. 15)
Symmetry-distinct sites (fractional):
Sm1 0.0000 0.1197 0.2500 [4 per cell]
Tm1 0.2337 0.4620 0.2063 [8 per cell]
Tm2 0.2443 0.2809 0.2412 [8 per cell]
Cd1 0.0000 0.3702 0.7500 [4 per cell]